Density functional theory data (PBE) for Ac2CuSb after structural relaxation.

Size of the total moment   0.0000 μB per atom
Offset from the most stable computed form   0.0 meV/atom

a = 5.4929 Å, b = 5.4929 Å, c = 4.1433 Å
α = 90.00°, β = 90.00°, γ = 90.00°
Last column: nearest neighbours and their distance in Å.
Fractional coordinates of all 4 atoms:
Ac (0.0000, 0.5000, 0.0000)  4 Sb 3.44, 4 Cu 3.44
Ac (0.5000, 0.0000, 0.0000)  4 Sb 3.44, 4 Cu 3.44
Cu (0.0000, 0.0000, 0.5000)  8 Ac 3.44
Sb (0.5000, 0.5000, 0.5000)  8 Ac 3.44

Density functional theory data (PBE) for BaSrLa2 after structural relaxation.

E_form   0.254 eV/atom
Size of the total moment   0.0005 μB per atom
Offset from the most stable computed form   175.5 meV/atom

a = 6.3899 Å, b = 6.3899 Å, c = 4.4795 Å
α = 90.00°, β = 90.00°, γ = 90.00°
Last column: nearest neighbours and their distance in Å.
Fractional coordinates of all 4 atoms:
Ba (0.0000, 0.0000, 0.0000)  8 La 3.90
Sr (0.5000, 0.5000, 0.0000)  8 La 3.90
La (0.0000, 0.5000, 0.5000)  4 Ba 3.90, 4 Sr 3.90
La (0.5000, 0.0000, 0.5000)  4 Ba 3.90, 4 Sr 3.90

Density functional theory data (PBE) for Tb5ScIn4 after structural relaxation.

E_form   -0.374 eV/atom
Size of the total moment   0.0000 μB per atom

a = 3.5996 Å, b = 3.5996 Å, c = 21.0317 Å
α = 90.00°, β = 90.00°, γ = 90.00°
Last column: nearest neighbours and their distance in Å.
Fractional coordinates of all 10 atoms:
Tb (0.0000, 0.0000, 0.0000)  8 In 3.29, 4 Tb 3.60
Tb (0.0000, 0.0000, 0.1987)  8 In 3.29, 4 Tb 3.60
Tb (0.0000, 0.0000, 0.3951)  4 In 3.27, 4 Sc 3.37, 4 Tb 3.60
Tb (0.0000, 0.0000, 0.6049)  4 In 3.27, 4 Sc 3.37, 4 Tb 3.60
Tb (0.0000, 0.0000, 0.8013)  8 In 3.29, 4 Tb 3.60
Sc (0.5000, 0.5000, 0.5000)  8 Tb 3.37, 4 Sc 3.60
In (0.5000, 0.5000, 0.0994)  8 Tb 3.29, 4 In 3.60
In (0.5000, 0.5000, 0.2975)  8 Tb 3.27-3.29, 4 In 3.60
In (0.5000, 0.5000, 0.7025)  8 Tb 3.27-3.29, 4 In 3.60
In (0.5000, 0.5000, 0.9006)  8 Tb 3.29, 4 In 3.60

Density functional theory data (PBE) for BeGePd5 after structural relaxation.

E_form   -0.247 eV/atom
Size of the total moment   0.0000 μB per atom

a = 5.7259 Å, b = 5.7259 Å, c = 9.9298 Å
α = 114.19°, β = 114.19°, γ = 45.94°
Last column: nearest neighbours and their distance in Å.
Fractional coordinates of all 14 atoms:
Be (0.2297, 0.7703, 0.7500)  6 Pd 2.14-2.26
Be (0.7703, 0.2297, 0.2500)  6 Pd 2.14-2.26
Ge (0.0000, 0.5000, 0.0000)  6 Pd 2.44-2.70
Ge (0.5000, 0.0000, 0.5000)  6 Pd 2.44-2.70
Pd (0.1000, 0.5446, 0.7986)  1 Be 2.14
Pd (0.1205, 0.6585, 0.5011)  1 Be 2.21
Pd (0.2647, 0.7353, 0.2500)  2 Be 2.21-2.26
Pd (0.3415, 0.8795, 0.9989)  1 Be 2.21
Pd (0.4554, 0.9000, 0.7014)  1 Be 2.14
Pd (0.5446, 0.1000, 0.2986)  1 Be 2.14
Pd (0.6585, 0.1205, 0.0011)  1 Be 2.21
Pd (0.7353, 0.2647, 0.7500)  2 Be 2.21-2.26
Pd (0.8795, 0.3415, 0.4989)  1 Be 2.21
Pd (0.9000, 0.4554, 0.2014)  1 Be 2.14

Density functional theory data (PBE) for Rb2LiSbBr6 after structural relaxation.

Size of the total moment   0.0000 μB per atom

a = 7.8736 Å, b = 7.8736 Å, c = 7.8736 Å
α = 60.00°, β = 60.00°, γ = 60.00°
Last column: nearest neighbours and their distance in Å.
Fractional coordinates of all 10 atoms:
Rb (0.2500, 0.2500, 0.2500)  12 Br 3.94
Rb (0.7500, 0.7500, 0.7500)  12 Br 3.94
Li (0.0000, 0.0000, 0.0000)  6 Br 2.76
Sb (0.5000, 0.5000, 0.5000)  6 Br 2.81
Br (0.2474, 0.2474, 0.7526)  1 Li 2.76, 1 Sb 2.81
Br (0.2474, 0.7526, 0.2474)  1 Li 2.76, 1 Sb 2.81
Br (0.2474, 0.7526, 0.7526)  1 Li 2.76, 1 Sb 2.81
Br (0.7526, 0.2474, 0.2474)  1 Li 2.76, 1 Sb 2.81
Br (0.7526, 0.2474, 0.7526)  1 Li 2.76, 1 Sb 2.81
Br (0.7526, 0.7526, 0.2474)  1 Li 2.76, 1 Sb 2.81

Density functional theory data (PBE) for TcO2 after structural relaxation.

Size of the total moment   0.0000 μB per atom
Offset from the most stable computed form   43.1 meV/atom

a = 4.8540 Å, b = 4.8540 Å, c = 2.7775 Å
α = 90.00°, β = 90.00°, γ = 90.00°
Last column: nearest neighbours and their distance in Å.
Fractional coordinates of all 6 atoms:
Tc (0.0000, 0.0000, 0.0000)  6 O 1.95-2.03
Tc (0.5000, 0.5000, 0.5000)  6 O 1.95-2.03
O (0.2153, 0.2153, 0.5000)  3 Tc 1.95-2.03
O (0.2847, 0.7153, 0.0000)  3 Tc 1.95-2.03
O (0.7153, 0.2847, 0.0000)  3 Tc 1.95-2.03
O (0.7847, 0.7847, 0.5000)  3 Tc 1.95-2.03

Density functional theory data (PBE) for Tb3Dy3Y2 after structural relaxation.

E_form   0.005 eV/atom
Size of the total moment   0.0000 μB per atom
Offset from the most stable computed form   0.0 meV/atom

a = 12.0674 Å, b = 12.0674 Å, c = 6.1898 Å
α = 104.85°, β = 104.85°, γ = 17.02°
Last column: nearest neighbours and their distance in Å.
Fractional coordinates of all 8 atoms:
Tb (0.0000, 0.0000, 0.0000)  4 Tb 3.53-3.57, 8 Dy 3.54-3.57
Tb (0.1245, 0.1245, 0.4575)  3 Tb 3.53-3.57, 6 Dy 3.53-3.57, 3 Y 3.55
Tb (0.8755, 0.8755, 0.5425)  3 Tb 3.53-3.57, 6 Dy 3.53-3.57, 3 Y 3.55
Dy (0.3754, 0.3754, 0.0424)  3 Dy 3.54-3.57, 6 Tb 3.54-3.57, 3 Y 3.55
Dy (0.5000, 0.5000, 0.5000)  8 Tb 3.53-3.57, 4 Dy 3.54-3.57
Dy (0.6246, 0.6246, 0.9576)  3 Dy 3.54-3.57, 6 Tb 3.54-3.57, 3 Y 3.55
Y (0.2500, 0.2500, 0.2500)  3 Dy 3.55, 3 Tb 3.55, 6 Y 3.57
Y (0.7500, 0.7500, 0.7500)  3 Dy 3.55, 3 Tb 3.55, 6 Y 3.57

Density functional theory data (PBE) for Er6TlCu2 after structural relaxation.

E_form   -0.212 eV/atom
Size of the total moment   0.0000 μB per atom

a = 8.4545 Å, b = 8.4545 Å, c = 8.4545 Å
α = 113.05°, β = 109.54°, γ = 105.91°
Last column: nearest neighbours and their distance in Å.
Fractional coordinates of all 18 atoms:
Er (0.0359, 0.2370, 0.7989)  1 Cu 2.82, 1 Tl 3.11
Er (0.1853, 0.2849, 0.4702)  3 Cu 2.96-3.11, 1 Tl 3.21
Er (0.1853, 0.7151, 0.9004)  3 Cu 2.96-3.11, 1 Tl 3.21
Er (0.3222, 0.0172, 0.6950)  3 Cu 2.75-2.95
Er (0.3222, 0.6272, 0.3050)  3 Cu 2.75-2.95
Er (0.4381, 0.2370, 0.2011)  1 Cu 2.82, 1 Tl 3.11
Er (0.5619, 0.7630, 0.7989)  1 Cu 2.82, 1 Tl 3.11
Er (0.6778, 0.3728, 0.6950)  3 Cu 2.75-2.95
Er (0.6778, 0.9828, 0.3050)  3 Cu 2.75-2.95
Er (0.8147, 0.2849, 0.0996)  3 Cu 2.96-3.11, 1 Tl 3.21
Er (0.8147, 0.7151, 0.5298)  3 Cu 2.96-3.11, 1 Tl 3.21
Er (0.9641, 0.7630, 0.2011)  1 Cu 2.82, 1 Tl 3.11
Tl (0.0000, 0.0000, 0.0000)  8 Er 3.11-3.21, 2 Cu 3.43
Tl (0.5000, 0.5000, 0.0000)  12 Er 3.32-3.67
Cu (0.1200, 0.6200, 0.5000)  1 Cu 2.45
Cu (0.3513, 0.0000, 0.3513)  8 Er 2.82-3.11, 1 Cu 2.90
Cu (0.6487, 0.0000, 0.6487)  8 Er 2.82-3.11, 1 Cu 2.90
Cu (0.8800, 0.3800, 0.5000)  1 Cu 2.45

Density functional theory data (PBE) for NiAgBr2 after structural relaxation.

Size of the total moment   0.2524 μB per atom
Offset from the most stable computed form   416.0 meV/atom

a = 4.8887 Å, b = 4.8887 Å, c = 3.4478 Å
α = 90.00°, β = 90.00°, γ = 90.00°
Last column: nearest neighbours and their distance in Å.
Fractional coordinates of all 4 atoms:
Ni (0.0000, 0.0000, 0.0000)  8 Br 2.99
Ag (0.5000, 0.5000, 0.0000)  8 Br 2.99
Br (0.0000, 0.5000, 0.5000)  4 Ag 2.99, 4 Ni 2.99
Br (0.5000, 0.0000, 0.5000)  4 Ag 2.99, 4 Ni 2.99

| no. | DFT total energy (eV/atom) |
| --- | --- |
| 1 | -4.6158 |
| 2 | -3.1113 |
| 3 | -4.4175 |
| 4 | -5.1482 |
| 5 | -3.0540 |
| 6 | -8.1320 |
| 7 | -5.0733 |
| 8 | -4.4272 |
| 9 | -2.6986 |